w.
DFT (PBE) results for an optimized crystal structure of TcNi2HRu.

Lattice parameters (Å, degrees): 3.698 3.698 3.845 90.00 90.00 90.00
Space group P4/mmm (No. 123)
Inequivalent atoms, fractional coordinates:
Tc 0.000 0.000 0.000 (multiplicity 1)
Ni 0.000 0.500 0.500 (multiplicity 2)
H 0.500 0.500 0.500 (multiplicity 1)
Ru 0.500 0.500 0.000 (multiplicity 1)

Results
Total magnetic moment = 0.001 μB/f.u.

***

x.
DFT (PBE) results for an optimized crystal structure of TcNi2HRu.

Lattice parameters (Å, degrees): 3.680 3.680 3.882 90.00 90.00 90.00
Space group P4/mmm (No. 123)
Inequivalent atoms, fractional coordinates:
Tc 0.000 0.000 0.000 (multiplicity 1)
Ni 0.000 0.500 0.500 (multiplicity 2)
H 0.000 0.000 0.500 (multiplicity 1)
Ru 0.500 0.500 0.000 (multiplicity 1)

Results
Total magnetic moment = 0.000 μB/f.u.

***

Which structure loses on stability? w does.

***

w.
DFT (PBE) results for an optimized crystal structure of TiNiHRu2.

Lattice parameters (Å, degrees): 3.928 3.928 3.640 90.00 90.00 90.00
Space group P4/mmm (No. 123)
Inequivalent atoms, fractional coordinates:
Ti 0.000 0.000 0.000 (multiplicity 1)
Ni 0.500 0.500 0.000 (multiplicity 1)
H 0.500 0.500 0.500 (multiplicity 1)
Ru 0.000 0.500 0.500 (multiplicity 2)

Results
Total magnetic moment = 0.000 μB/f.u.

***

x.
DFT (PBE) results for an optimized crystal structure of TiNiHRu2.

Lattice parameters (Å, degrees): 3.833 3.833 3.858 90.00 90.00 90.00
Space group P4/mmm (No. 123)
Inequivalent atoms, fractional coordinates:
Ti 0.000 0.000 0.000 (multiplicity 1)
Ni 0.500 0.500 0.000 (multiplicity 1)
H 0.000 0.000 0.500 (multiplicity 1)
Ru 0.000 0.500 0.500 (multiplicity 2)

Results
Total magnetic moment = 0.000 μB/f.u.

***

Which structure loses on stability? x does.

***

w.
DFT (PBE) results for an optimized crystal structure of NiHRu2W.

Lattice parameters (Å, degrees): 3.855 3.855 3.875 90.00 90.00 90.00
Space group P4/mmm (No. 123)
Inequivalent atoms, fractional coordinates:
Ni 0.000 0.000 0.000 (multiplicity 1)
H 0.500 0.500 0.500 (multiplicity 1)
Ru 0.000 0.500 0.500 (multiplicity 2)
W 0.500 0.500 0.000 (multiplicity 1)

Results
Total magnetic moment = 0.000 μB/f.u.

***

x.
DFT (PBE) results for an optimized crystal structure of NiHRu2W.

Lattice parameters (Å, degrees): 3.938 3.938 3.667 90.00 90.00 90.00
Space group P4/mmm (No. 123)
Inequivalent atoms, fractional coordinates:
Ni 0.000 0.000 0.000 (multiplicity 1)
H 0.000 0.000 0.500 (multiplicity 1)
Ru 0.000 0.500 0.500 (multiplicity 2)
W 0.500 0.500 0.000 (multiplicity 1)

Results
Total magnetic moment = 0.000 μB/f.u.

***

Which structure loses on stability? w does.

***

w.
DFT (PBE) results for an optimized crystal structure of Y2NiHRu.

Lattice parameters (Å, degrees): 4.790 4.790 3.461 90.00 90.00 90.00
Space group P4/mmm (No. 123)
Inequivalent atoms, fractional coordinates:
Y 0.000 0.500 0.000 (multiplicity 2)
Ni 0.000 0.000 0.500 (multiplicity 1)
H 0.000 0.000 0.000 (multiplicity 1)
Ru 0.500 0.500 0.500 (multiplicity 1)

Results
Total magnetic moment = 0.000 μB/f.u.

***

x.
DFT (PBE) results for an optimized crystal structure of Y2NiHRu.

Lattice parameters (Å, degrees): 4.811 4.811 3.590 90.00 90.00 90.00
Space group P4/mmm (No. 123)
Inequivalent atoms, fractional coordinates:
Y 0.000 0.500 0.000 (multiplicity 2)
Ni 0.000 0.000 0.500 (multiplicity 1)
H 0.500 0.500 0.000 (multiplicity 1)
Ru 0.500 0.500 0.500 (multiplicity 1)

Results
Total magnetic moment = 0.000 μB/f.u.

***

Which structure loses on stability? x does.

***

w.
DFT (PBE) results for an optimized crystal structure of ZrNiHRu2.

Lattice parameters (Å, degrees): 4.732 4.732 3.127 90.00 90.00 90.00
Space group P4/mmm (No. 123)
Inequivalent atoms, fractional coordinates:
Zr 0.000 0.000 0.000 (multiplicity 1)
Ni 0.500 0.500 0.500 (multiplicity 1)
H 0.500 0.500 0.000 (multiplicity 1)
Ru 0.000 0.500 0.500 (multiplicity 2)

Results
Total magnetic moment = 1.795 μB/f.u.

***

x.
DFT (PBE) results for an optimized crystal structure of ZrNiHRu2.

Lattice parameters (Å, degrees): 4.003 4.003 3.833 90.00 90.00 90.00
Space group P4/mmm (No. 123)
Inequivalent atoms, fractional coordinates:
Zr 0.000 0.000 0.000 (multiplicity 1)
Ni 0.500 0.500 0.000 (multiplicity 1)
H 0.500 0.500 0.500 (multiplicity 1)
Ru 0.000 0.500 0.500 (multiplicity 2)

Results
Total magnetic moment = 0.000 μB/f.u.

***

Which structure loses on stability? w does.

***

w.
DFT (PBE) results for an optimized crystal structure of Zr2NiHRu.

Lattice parameters (Å, degrees): 4.601 4.601 3.347 90.00 90.00 90.00
Space group P4/mmm (No. 123)
Inequivalent atoms, fractional coordinates:
Zr 0.000 0.500 0.000 (multiplicity 2)
Ni 0.000 0.000 0.500 (multiplicity 1)
H 0.000 0.000 0.000 (multiplicity 1)
Ru 0.500 0.500 0.500 (multiplicity 1)

Results
Total magnetic moment = 0.000 μB/f.u.

***

x.
DFT (PBE) results for an optimized crystal structure of Zr2NiHRu.

Lattice parameters (Å, degrees): 4.520 4.520 3.534 90.00 90.00 90.00
Space group P4/mmm (No. 123)
Inequivalent atoms, fractional coordinates:
Zr 0.000 0.500 0.000 (multiplicity 2)
Ni 0.000 0.000 0.500 (multiplicity 1)
H 0.500 0.500 0.000 (multiplicity 1)
Ru 0.500 0.500 0.500 (multiplicity 1)

Results
Total magnetic moment = 0.000 μB/f.u.

***

Which structure loses on stability? x does.

***

w.
DFT (PBE) results for an optimized crystal structure of NiH3S.

Lattice parameters (Å, degrees): 3.375 3.375 3.375 90.00 90.00 90.00
Space group Pm-3m (No. 221)
Inequivalent atoms, fractional coordinates:
Ni 0.000 0.000 0.000 (multiplicity 1)
H 0.000 0.000 0.500 (multiplicity 3)
S 0.500 0.500 0.500 (multiplicity 1)

Results
Total magnetic moment = 0.000 μB/f.u.

***

x.
DFT (PBE) results for an optimized crystal structure of NiH3S.

Lattice parameters (Å, degrees): 3.417 3.417 3.417 90.00 90.00 90.00
Space group Pm-3m (No. 221)
Inequivalent atoms, fractional coordinates:
Ni 0.000 0.000 0.000 (multiplicity 1)
H 0.000 0.500 0.500 (multiplicity 3)
S 0.500 0.500 0.500 (multiplicity 1)

Results
Total magnetic moment = 0.000 μB/f.u.

***

Which structure loses on stability? x does.

***

w.
DFT (PBE) results for an optimized crystal structure of NiH2S.

Lattice parameters (Å, degrees): 3.306 3.306 12.411 90.00 90.00 90.00
Space group I-42d (No. 122)
Inequivalent atoms, fractional coordinates:
Ni 0.000 0.000 0.000 (multiplicity 4)
H 0.140 0.250 0.125 (multiplicity 8)
S 0.000 0.000 0.500 (multiplicity 4)

Results
Total magnetic moment = 0.000 μB/f.u.

***

x.
DFT (PBE) results for an optimized crystal structure of NiH2S.

Lattice parameters (Å, degrees): 2.4603 2.4603 23.8919 90.00 90.00 120.00
Space group R-3m (No. 166, hexagonal axes)
Inequivalent atoms, fractional coordinates:
Ni 0.0000 0.0000 0.0000 (multiplicity 3)
H 0.0000 0.0000 0.0645 (multiplicity 6)
S 0.0000 0.0000 0.5000 (multiplicity 3)

Results
Total magnetic moment = 0.002 μB/f.u.

***

Which structure loses on stability? x does.

***

w.
DFT (PBE) results for an optimized crystal structure of NiH2S.

Lattice parameters (Å, degrees): 5.036 5.036 5.036 90.00 90.00 90.00
Space group Fm-3m (No. 225)
Inequivalent atoms, fractional coordinates:
Ni 0.000 0.000 0.000 (multiplicity 4)
H 0.250 0.250 0.250 (multiplicity 8)
S 0.000 0.000 0.500 (multiplicity 4)

Results
Total magnetic moment = 0.000 μB/f.u.

***

x.
DFT (PBE) results for an optimized crystal structure of NiH2S.

Lattice parameters (Å, degrees): 3.633 7.065 3.634 90.00 119.77 90.00
Space group Pm (No. 6)
Inequivalent atoms, fractional coordinates:
Ni 0.000 0.000 0.000 (multiplicity 1)
H 0.076 0.500 0.962 (multiplicity 1)
H 0.939 0.500 0.063 (multiplicity 1)
S 0.666 0.000 0.334 (multiplicity 1)

Results
Total magnetic moment = 0.000 μB/f.u.

***

Which structure loses on stability? w does.

***

w.
DFT (PBE) results for an optimized crystal structure of Ni3HS.

Lattice parameters (Å, degrees): 4.127 4.127 4.127 90.00 90.00 90.00
Space group Pm-3m (No. 221)
Inequivalent atoms, fractional coordinates:
Ni 0.000 0.000 0.500 (multiplicity 3)
H 0.500 0.500 0.500 (multiplicity 1)
S 0.000 0.000 0.000 (multiplicity 1)

Results
Total magnetic moment = 0.006 μB/f.u.

***

x.
DFT (PBE) results for an optimized crystal structure of Ni3HS.

Lattice parameters (Å, degrees): 3.633 3.633 3.633 90.00 90.00 90.00
Space group Pm-3m (No. 221)
Inequivalent atoms, fractional coordinates:
Ni 0.000 0.000 0.500 (multiplicity 3)
H 0.000 0.000 0.000 (multiplicity 1)
S 0.500 0.500 0.500 (multiplicity 1)

Results
Total magnetic moment = 0.354 μB/f.u.

***

y.
DFT (PBE) results for an optimized crystal structure of Ni3HS.

Lattice parameters (Å, degrees): 5.833 5.971 6.784 107.04 101.09 106.83
Space group P1 (No. 1)
Inequivalent atoms, fractional coordinates:
Ni 0.000 0.000 0.000 (multiplicity 1)
Ni 0.009 0.843 0.336 (multiplicity 1)
Ni 0.068 0.579 0.786 (multiplicity 1)
Ni 0.089 0.457 0.139 (multiplicity 1)
Ni 0.256 0.264 0.593 (multiplicity 1)
Ni 0.349 0.687 0.545 (multiplicity 1)
Ni 0.427 0.287 0.282 (multiplicity 1)
Ni 0.518 0.998 0.963 (multiplicity 1)
Ni 0.558 0.733 0.233 (multiplicity 1)
Ni 0.633 0.605 0.869 (multiplicity 1)
Ni 0.834 0.050 0.652 (multiplicity 1)
Ni 0.854 0.222 0.339 (multiplicity 1)
H 0.179 0.374 0.369 (multiplicity 1)
H 0.323 0.482 0.825 (multiplicity 1)
H 0.614 0.773 0.487 (multiplicity 1)
H 0.704 0.894 0.819 (multiplicity 1)
S 0.163 0.936 0.695 (multiplicity 1)
S 0.253 0.844 0.138 (multiplicity 1)
S 0.669 0.320 0.601 (multiplicity 1)
S 0.703 0.430 0.121 (multiplicity 1)

Results
Total magnetic moment = 0.000 μB/f.u.

***

Which structure loses on stability? w does.

***

w.
DFT (PBE) results for an optimized crystal structure of NiSb2H.

Lattice parameters (Å, degrees): 6.346 6.346 6.346 90.00 90.00 90.00
Space group Fm-3m (No. 225)
Inequivalent atoms, fractional coordinates:
Ni 0.000 0.000 0.000 (multiplicity 4)
Sb 0.250 0.250 0.250 (multiplicity 8)
H 0.000 0.000 0.500 (multiplicity 4)

Results
Total magnetic moment = 0.000 μB/f.u.

***

x.
DFT (PBE) results for an optimized crystal structure of NiSb2H.

Lattice parameters (Å, degrees): 3.9518 3.9518 19.0094 90.00 90.00 120.00
Space group R-3m (No. 166, hexagonal axes)
Inequivalent atoms, fractional coordinates:
Ni 0.0000 0.0000 0.0000 (multiplicity 3)
Sb 0.0000 0.0000 0.3952 (multiplicity 6)
H 0.0000 0.0000 0.5000 (multiplicity 3)

Results
Total magnetic moment = 0.000 μB/f.u.

***

Which structure loses on stability? w does.

***

w.
DFT (PBE) results for an optimized crystal structure of NiSbH.

Lattice parameters (Å, degrees): 3.909 3.909 6.796 90.00 90.00 90.00
Space group P4/nmm (No. 129, origin choice 2)
Inequivalent atoms, fractional coordinates:
Ni 0.250 0.750 0.000 (multiplicity 2)
Sb 0.250 0.250 0.226 (multiplicity 2)
H 0.250 0.250 0.482 (multiplicity 2)

Results
Total magnetic moment = 0.000 μB/f.u.

***

x.
DFT (PBE) results for an optimized crystal structure of NiSbH.

Lattice parameters (Å, degrees): 12.746 3.071 4.307 90.00 100.75 90.00
Space group C2/m (No. 12)
Inequivalent atoms, fractional coordinates:
Ni 0.000 0.000 0.000 (multiplicity 2)
Ni 0.000 0.500 0.500 (multiplicity 2)
Sb 0.167 0.000 0.715 (multiplicity 4)
H 0.053 0.500 0.186 (multiplicity 4)

Results
Total magnetic moment = 0.000 μB/f.u.

***

Which structure loses on stability? w does.

***

w.
DFT (PBE) results for an optimized crystal structure of NiSbH3.

Lattice parameters (Å, degrees): 3.911 3.911 3.911 90.00 90.00 90.00
Space group Pm-3m (No. 221)
Inequivalent atoms, fractional coordinates:
Ni 0.000 0.000 0.000 (multiplicity 1)
Sb 0.500 0.500 0.500 (multiplicity 1)
H 0.000 0.500 0.500 (multiplicity 3)

Results
Total magnetic moment = 0.000 μB/f.u.

***

x.
DFT (PBE) results for an optimized crystal structure of NiSbH3.

Lattice parameters (Å, degrees): 3.575 3.575 3.575 90.00 90.00 90.00
Space group Pm-3m (No. 221)
Inequivalent atoms, fractional coordinates:
Ni 0.000 0.000 0.000 (multiplicity 1)
Sb 0.500 0.500 0.500 (multiplicity 1)
H 0.000 0.000 0.500 (multiplicity 3)

Results
Total magnetic moment = 0.000 μB/f.u.

***

Which structure loses on stability? w does.